No. 1
## ScBiBr2 (PBE-GGA)

Data for ScBiBr2 after structural relaxation. Values from VASP.

Values from the calculation:
VASP energy (Ry/atom): -0.3178
Space group: R-3m (166)
Excess energy over the best structure of this formula in the dataset (meV/atom): 0
Formation energy without anion corrections (eV/atom): -0.935
Theoretical density (kg/m³): 5418

```
&SYSTEM
  ibrav = 0, nat = 4, ntyp = 3
/
ATOMIC_SPECIES
Sc 44.96 Sc.upf
Bi 208.98 Bi.upf
Br 79.90 Br.upf
CELL_PARAMETERS angstrom
1.7896 1.0332 11.4302
-1.7896 1.0332 11.4302
0.0000 -2.0664 11.4302
ATOMIC_POSITIONS crystal
Sc 0.0000 0.0000 0.0000
Bi 0.5000 0.5000 0.5000
Br 0.3840 0.3840 0.3840
Br 0.6160 0.6160 0.6160
```



No. 2
## ScBiBr2 (PBE-GGA)

Data for ScBiBr2 after structural relaxation. Values from VASP.

Values from the calculation:
VASP energy (Ry/atom): -0.2992
Space group: I-42d (122)
Excess energy over the best structure of this formula in the dataset (meV/atom): 253
Formation energy without anion corrections (eV/atom): -0.682
Theoretical density (kg/m³): 5289

```
&SYSTEM
  ibrav = 0, nat = 8, ntyp = 3
/
ATOMIC_SPECIES
Sc 44.96 Sc.upf
Bi 208.98 Bi.upf
Br 79.90 Br.upf
CELL_PARAMETERS angstrom
-4.6423 4.6423 3.0138
4.6423 -4.6423 3.0138
4.6423 4.6423 -3.0138
ATOMIC_POSITIONS crystal
Sc 0.0000 0.0000 0.0000
Sc 0.7500 0.2500 0.5000
Bi 0.2500 0.7500 0.5000
Bi 0.5000 0.5000 0.0000
Br 0.3750 0.2489 0.3739
Br 0.7511 0.1250 0.1261
Br 0.8750 0.0011 0.6261
Br 0.9989 0.6250 0.8739
```



No. 3
## ScBiSeBr2 (PBE-GGA)

Data for ScBiSeBr2 after structural relaxation. Values from VASP.

Values from the calculation:
VASP energy (Ry/atom): -0.2477
Space group: P4/mmm (123)
Excess energy over the best structure of this formula in the dataset (meV/atom): 721
Formation energy without anion corrections (eV/atom): 0.038
Theoretical density (kg/m³): 4483

```
&SYSTEM
  ibrav = 0, nat = 5, ntyp = 4
/
ATOMIC_SPECIES
Sc 44.96 Sc.upf
Bi 208.98 Bi.upf
Se 78.96 Se.upf
Br 79.90 Br.upf
CELL_PARAMETERS angstrom
5.6740 0.0000 0.0000
0.0000 5.6740 0.0000
0.0000 0.0000 5.6687
ATOMIC_POSITIONS crystal
Sc 0.0000 0.0000 0.0000
Bi 0.5000 0.5000 0.5000
Se 0.5000 0.5000 0.0000
Br 0.0000 0.5000 0.5000
Br 0.5000 0.0000 0.5000
```



No. 4
## ScBiSeBr2 (PBE-GGA)

Data for ScBiSeBr2 after structural relaxation. Values from VASP.

Values from the calculation:
VASP energy (Ry/atom): -0.3007
Space group: P4/mmm (123)
Excess energy over the best structure of this formula in the dataset (meV/atom): 0
Formation energy without anion corrections (eV/atom): -0.682
Theoretical density (kg/m³): 5640

```
&SYSTEM
  ibrav = 0, nat = 5, ntyp = 4
/
ATOMIC_SPECIES
Sc 44.96 Sc.upf
Bi 208.98 Bi.upf
Se 78.96 Se.upf
Br 79.90 Br.upf
CELL_PARAMETERS angstrom
5.2219 0.0000 0.0000
0.0000 5.2219 0.0000
0.0000 0.0000 5.3195
ATOMIC_POSITIONS crystal
Sc 0.0000 0.0000 0.0000
Bi 0.5000 0.5000 0.5000
Se 0.0000 0.0000 0.5000
Br 0.0000 0.5000 0.0000
Br 0.5000 0.0000 0.0000
```